1.
Li2GaHPb | PBE-GGA | optimized geometry

```
Li2GaHPb
1.0
-0.830 -3.343 -2.297
3.925 -0.071 -1.314
1.221 -2.918 3.806
Pb H Ga Li
1 1 1 2
direct
0.000 0.000 0.500
0.000 0.000 0.000
0.500 0.500 0.500
0.000 0.500 0.000
0.500 0.000 0.000
```

Properties
Its density of states at the Fermi level is 1.37 states/eV per cell. The total energy is -14.3 eV/cell.



2.
Cr3Ir | PBE-GGA | optimized geometry

```
Cr3Ir
1.0
-3.101 -0.032 -3.462
-3.452 -0.325 3.095
-0.264 4.636 0.193
Cr Ir
6 2
direct
0.000 0.250 0.500
0.000 0.750 0.500
0.250 0.500 0.000
0.500 0.000 0.250
0.500 0.000 0.750
0.750 0.500 0.000
0.000 0.000 0.000
0.500 0.500 0.500
```

Properties
Its formation energy is -0.08 eV/atom. Its density of states at the Fermi level is 12.76 states/eV per cell.



Across the entries above, volume takes the values 84.8 100.4 Å³ per cell, respectively.